Zr3OsPd2: optimized geometry, PBE-GGA.

Output
Uncorrected energy = -0.6206 Ry/atom
ΔE_f = -0.567 eV per atom
Space-group type = P2/m

Unit cell a=4.7013 b=7.4617 c=6.7352 alpha=90.00 beta=90.00 gamma=70.20
With the nearest neighbours (Å) after each atom.
Sites, in units of the cell vectors:
Pd: 0.0000 0.0000 0.0000  8 Zr 2.87-2.88
Pd: 0.6595 0.6641 0.5000  8 Zr 2.88-2.95
Pd: 0.3405 0.3359 0.5000  8 Zr 2.88-2.95
Pd: 0.0000 0.0000 0.5000  8 Zr 2.91-2.95, 2 Pd 3.26
Zr: 0.1656 0.6617 0.2411  3 Os 2.84-2.86, 5 Pd 2.88-2.95
Zr: 0.5000 0.0000 0.7559  2 Os 2.84, 6 Pd 2.87-2.92
Zr: 0.8344 0.3383 0.7589  3 Os 2.84-2.86, 5 Pd 2.88-2.95
Zr: 0.5000 0.0000 0.2441  2 Os 2.84, 6 Pd 2.87-2.92
Zr: 0.8345 0.3383 0.2411  3 Os 2.84-2.86, 5 Pd 2.88-2.95
Zr: 0.1655 0.6617 0.7589  3 Os 2.84-2.86, 5 Pd 2.88-2.95
Os: 0.6617 0.6698 0.0000  8 Zr 2.84-2.86
Os: 0.3383 0.3302 0.0000  8 Zr 2.84-2.86